Record 1
## Ce4InPt12 (PBE)

Data for a geometry-optimized Ce4InPt12 structure.

Cell: 7.523 7.523 7.523 Å, 109.47 109.47 109.47°
Last column: magnetic moment on the atom in μB.
Fractional coordinates of all 17 atoms:
Ce 0.000 0.000 0.500  0.53
Ce 0.500 0.000 0.000  0.53
Ce 0.500 0.500 0.500  0.53
Ce 0.000 0.500 0.000  0.53
In 0.000 0.000 0.000  0.01
Pt 0.000 0.305 0.305  0.01
Pt 0.000 0.695 0.695  0.01
Pt 0.695 0.695 0.000  0.01
Pt 0.305 0.305 0.000  0.01
Pt 0.305 0.000 0.305  0.01
Pt 0.695 0.000 0.695  0.01
Pt 0.500 0.250 0.750  0.00
Pt 0.500 0.750 0.250  0.00
Pt 0.750 0.250 0.500  0.00
Pt 0.250 0.750 0.500  0.00
Pt 0.750 0.500 0.250  0.00
Pt 0.250 0.500 0.750  0.00

Output
As for the crystal system: cubic. The density comes out at 15281 kg/m3. Its calculated formation energy is -83 kJ/mol of atoms. The value obtained for the raw total energy is -6.69 eV/atom. The space group is Im-3m.



Record 2
## Ce8In2Pt (PBE)

Data for a geometry-optimized Ce8In2Pt structure.

Cell: 5.532 7.181 8.245 Å, 112.02 109.60 90.00°
Last column: magnetic moment on the atom in μB.
Fractional coordinates of all 11 atoms:
Ce 0.391 0.564 0.783  0.19
Ce 0.647 0.849 0.294  0.27
Ce 0.858 0.867 0.715  0.30
Ce 0.998 0.262 0.997  0.25
Ce 0.142 0.133 0.285  0.30
Ce 0.353 0.151 0.706  0.27
Ce 0.609 0.436 0.217  0.19
Ce 0.002 0.738 0.003  0.25
In 0.797 0.328 0.594  -0.01
In 0.203 0.672 0.406  -0.01
Pt 0.500 0.000 0.000  -0.01

Output
As for the crystal system: monoclinic. The density comes out at 9068 kg/m3. Its calculated formation energy is -29 kJ/mol of atoms. The value obtained for the raw total energy is -5.66 eV/atom. The space group is C2/m.



Record 3
## Ce2InPt (PBE)

Data for a geometry-optimized Ce2InPt structure.

Cell: 3.401 3.401 8.648 Å, 90.00 90.00 90.00°
Last column: magnetic moment on the atom in μB.
Fractional coordinates of all 4 atoms:
Ce 0.000 0.000 0.784  0.61
Ce 0.000 0.000 0.216  0.61
Pt 0.500 0.500 0.000  -0.04
In 0.500 0.500 0.500  0.00

Output
As for the crystal system: tetragonal. As for the energy relative to the lowest polymorph listed for this composition: 0.002 eV per atom. The density comes out at 9799 kg/m3. Its calculated formation energy is -65 kJ/mol of atoms. The value obtained for the raw total energy is -5.84 eV/atom. The space group is P4/mmm.



Question: What is the calculated formation energy in the third record?
Answer: -65 kJ/mol of atoms



Question: Which formula does entry 1 have?
Answer: Ce4InPt12